BeCdAs2: optimized geometry, PBE.

Calculated values
Its electronic total energy is -2.88 eV/atom. For the offset from the most stable computed form, the calculation gives 0.5408 eV per atom. The formation energy is 2.4 eV/f.u.

```
data_BeCdAs2
_chemical_formula_sum 'Be4 Cd4 As8'
_cell_length_a 6.617
_cell_length_b 6.617
_cell_length_c 6.617
_cell_angle_alpha 90.00
_cell_angle_beta 90.00
_cell_angle_gamma 90.00
_space_group_name_H-M_alt 'F -4 3 m'
_space_group_IT_number 216
_space_group_name_Hall 'F -4 2 3'
loop_
_atom_site_label
_atom_site_type_symbol
_atom_site_fract_x
_atom_site_fract_y
_atom_site_fract_z
Be1 Be 0.000 0.000 0.000
Cd1 Cd 0.250 0.250 0.250
As1 As 0.000 0.000 0.500
As2 As 0.250 0.250 0.750
```

BeZnFe2: optimized geometry, PBE.

Calculated values
Its electronic total energy is -5.47 eV/atom. For the offset from the most stable computed form, the calculation gives 0.0846 eV per atom. The formation energy is 0.0 eV/f.u.

```
data_BeZnFe2
_chemical_formula_sum 'Be2 Zn2 Fe4'
_cell_length_a 4.976
_cell_length_b 7.215
_cell_length_c 2.510
_cell_angle_alpha 90.00
_cell_angle_beta 90.85
_cell_angle_gamma 90.00
_space_group_name_H-M_alt 'C 1 2/m 1'
_space_group_IT_number 12
loop_
_space_group_symop_operation_xyz
'x,y,z'
'-x,-y,-z'
'-x,y,-z'
'x,-y,z'
'x+1/2,y+1/2,z'
'-x+1/2,-y+1/2,-z'
'-x+1/2,y+1/2,-z'
'x+1/2,-y+1/2,z'
loop_
_atom_site_label
_atom_site_type_symbol
_atom_site_fract_x
_atom_site_fract_y
_atom_site_fract_z
Be1 Be 0.000 0.000 0.000
Zn1 Zn 0.000 0.500 0.000
Fe1 Fe 0.250 0.250 0.500
```

Cs2NaScI6: optimized geometry, PBE.

Calculated values
Its electronic total energy is -3.24 eV/atom. The calculation puts the formation energy (no corrections) at -1378 meV per atom.

```
data_Cs2NaScI6
_chemical_formula_sum 'Cs8 Na4 Sc4 I24'
_cell_length_a 12.151
_cell_length_b 12.151
_cell_length_c 12.151
_cell_angle_alpha 90.00
_cell_angle_beta 90.00
_cell_angle_gamma 90.00
_space_group_name_H-M_alt 'F m -3 m'
_space_group_IT_number 225
_space_group_name_Hall '-F 4 2 3'
loop_
_atom_site_label
_atom_site_type_symbol
_atom_site_fract_x
_atom_site_fract_y
_atom_site_fract_z
Cs1 Cs 0.250 0.250 0.250
Na1 Na 0.000 0.000 0.000
Sc1 Sc 0.000 0.000 0.500
I1 I 0.000 0.000 0.261
```

NaAc3Tl4: optimized geometry, PBE.

Calculated values
Its electronic total energy is -3.09 eV/atom. For the offset from the most stable computed form, the calculation gives 0.1128 eV per atom. The formation energy is -1.6 eV/f.u.

```
data_NaAc3Tl4
_chemical_formula_sum 'Na2 Ac6 Tl8'
_cell_length_a 3.989
_cell_length_b 7.869
_cell_length_c 18.736
_cell_angle_alpha 90.00
_cell_angle_beta 90.00
_cell_angle_gamma 90.00
_space_group_name_H-M_alt 'I m m m'
_space_group_IT_number 71
_space_group_name_Hall '-I 2 2'
loop_
_atom_site_label
_atom_site_type_symbol
_atom_site_fract_x
_atom_site_fract_y
_atom_site_fract_z
Na1 Na 0.000 0.000 0.000
Ac1 Ac 0.000 0.000 0.500
Ac2 Ac 0.000 0.500 0.286
Tl1 Tl 0.000 0.287 0.124
```

MgSc2InHg4: optimized geometry, PBE.

Calculated values
Its electronic total energy is -2.58 eV/atom. The formation energy is -2.5 eV/f.u.

```
data_MgSc2InHg4
_chemical_formula_sum 'Mg3 Sc6 In3 Hg12'
_cell_length_a 4.9688
_cell_length_b 4.9688
_cell_length_c 24.3861
_cell_angle_alpha 90.00
_cell_angle_beta 90.00
_cell_angle_gamma 120.00
_space_group_name_H-M_alt 'R -3 m'
_space_group_IT_number 166
_space_group_name_Hall '-R 3 2"'
loop_
_atom_site_label
_atom_site_type_symbol
_atom_site_fract_x
_atom_site_fract_y
_atom_site_fract_z
Mg1 Mg 0.0000 0.0000 0.0000
Sc1 Sc 0.0000 0.0000 0.2466
In1 In 0.0000 0.0000 0.5000
Hg1 Hg 0.0000 0.0000 0.1196
Hg2 Hg 0.0000 0.0000 0.3695
```

Rb2NaBi2: optimized geometry, PBE.

Calculated values
Its electronic total energy is -2.28 eV/atom. For the offset from the most stable computed form, the calculation gives 0.2124 eV per atom. The formation energy is -0.4 eV/f.u.

```
data_Rb2NaBi2
_chemical_formula_sum 'Rb4 Na2 Bi4'
_cell_length_a 11.071
_cell_length_b 11.071
_cell_length_c 3.499
_cell_angle_alpha 90.00
_cell_angle_beta 90.00
_cell_angle_gamma 90.00
_space_group_name_H-M_alt 'P 4/m b m'
_space_group_IT_number 127
_space_group_name_Hall '-P 4 2ab'
loop_
_atom_site_label
_atom_site_type_symbol
_atom_site_fract_x
_atom_site_fract_y
_atom_site_fract_z
Rb1 Rb 0.118 0.382 0.000
Na1 Na 0.000 0.000 0.000
Bi1 Bi 0.180 0.680 0.500
```

LiSb2TeO: optimized geometry, PBE.

Calculated values
Its electronic total energy is -3.81 eV/atom. The calculation puts the formation energy (no corrections) at -163 meV per atom. For the offset from the most stable computed form, the calculation gives 0.0000 eV per atom.

```
data_LiSb2TeO
_chemical_formula_sum 'Li1 Sb2 Te1 O1'
_cell_length_a 4.704
_cell_length_b 4.704
_cell_length_c 5.149
_cell_angle_alpha 90.00
_cell_angle_beta 90.00
_cell_angle_gamma 90.00
_space_group_name_H-M_alt 'P 4/m m m'
_space_group_IT_number 123
_space_group_name_Hall '-P 4 2'
loop_
_atom_site_label
_atom_site_type_symbol
_atom_site_fract_x
_atom_site_fract_y
_atom_site_fract_z
Li1 Li 0.000 0.000 0.000
Sb1 Sb 0.000 0.500 0.500
Te1 Te 0.500 0.500 0.000
O1 O 0.500 0.500 0.500
```

KTe2Se2: optimized geometry, PBE.

Calculated values
Its electronic total energy is -3.19 eV/atom. The calculation puts the formation energy (no corrections) at -324 meV per atom. For the offset from the most stable computed form, the calculation gives 0.0217 eV per atom.

```
data_KTe2Se2
_chemical_formula_sum 'K2 Te4 Se4'
_cell_length_a 5.701
_cell_length_b 5.701
_cell_length_c 11.449
_cell_angle_alpha 90.00
_cell_angle_beta 90.00
_cell_angle_gamma 90.00
_space_group_name_H-M_alt 'I 4/m m m'
_space_group_IT_number 139
_space_group_name_Hall '-I 4 2'
loop_
_atom_site_label
_atom_site_type_symbol
_atom_site_fract_x
_atom_site_fract_y
_atom_site_fract_z
K1 K 0.000 0.000 0.000
Te1 Te 0.000 0.000 0.300
Se1 Se 0.000 0.500 0.250
```

Mn2Hg3Pd7: optimized geometry, PBE.

Calculated values
Its electronic total energy is -4.81 eV/atom. The formation energy is -2.2 eV/f.u.

```
data_Mn2Hg3Pd7
_chemical_formula_sum 'Mn8 Hg12 Pd28'
_cell_length_a 5.899
_cell_length_b 7.568
_cell_length_c 17.818
_cell_angle_alpha 90.00
_cell_angle_beta 90.00
_cell_angle_gamma 90.00
_space_group_name_H-M_alt 'F m m m'
_space_group_IT_number 69
_space_group_name_Hall '-F 2 2'
loop_
_atom_site_label
_atom_site_type_symbol
_atom_site_fract_x
_atom_site_fract_y
_atom_site_fract_z
Mn1 Mn 0.000 0.000 0.167
Hg1 Hg 0.000 0.000 0.000
Hg2 Hg 0.000 0.000 0.334
Pd1 Pd 0.000 0.000 0.500
Pd2 Pd 0.250 0.250 0.085
Pd3 Pd 0.250 0.250 0.250
```

In4Cl3F: optimized geometry, PBE.

Calculated values
Its electronic total energy is -3.31 eV/atom. The calculation puts the formation energy (no corrections) at -1013 meV per atom.

```
data_In4Cl3F
_chemical_formula_sum 'In8 Cl6 F2'
_cell_length_a 10.565
_cell_length_b 7.718
_cell_length_c 6.434
_cell_angle_alpha 90.00
_cell_angle_beta 90.00
_cell_angle_gamma 90.00
_space_group_name_H-M_alt 'P m n 21'
_space_group_IT_number 31
loop_
_space_group_symop_operation_xyz
'x,y,z'
'-x+1/2,-y,z+1/2'
'-x,y,z'
'x+1/2,-y,z+1/2'
loop_
_atom_site_label
_atom_site_type_symbol
_atom_site_fract_x
_atom_site_fract_y
_atom_site_fract_z
In1 In 0.000 0.096 0.000
In2 In 0.000 0.736 0.420
In3 In 0.194 0.715 0.961
Cl1 Cl 0.000 0.081 0.551
Cl2 Cl 0.207 0.343 0.030
F1 F 0.000 0.667 0.768
```

Er2U2InRu5: optimized geometry, PBE.

Calculated values
Its electronic total energy is -8.26 eV/atom. The formation energy is -1.8 eV/f.u.

```
data_Er2U2InRu5
_chemical_formula_sum 'Er4 U4 In2 Ru10'
_cell_length_a 10.741
_cell_length_b 10.741
_cell_length_c 3.406
_cell_angle_alpha 90.00
_cell_angle_beta 90.00
_cell_angle_gamma 90.00
_space_group_name_H-M_alt 'P 4/m b m'
_space_group_IT_number 127
_space_group_name_Hall '-P 4 2ab'
loop_
_atom_site_label
_atom_site_type_symbol
_atom_site_fract_x
_atom_site_fract_y
_atom_site_fract_z
Er1 Er 0.166 0.334 0.000
U1 U 0.145 0.645 0.000
In1 In 0.000 0.000 0.000
Ru1 Ru 0.000 0.500 0.500
Ru2 Ru 0.044 0.785 0.500
```

Pm4Dy5Er: optimized geometry, PBE.

Calculated values
Its electronic total energy is -4.42 eV/atom. For the offset from the most stable computed form, the calculation gives 0.0564 eV per atom. The formation energy is 2.4 eV/f.u.

```
data_Pm4Dy5Er
_chemical_formula_sum 'Pm8 Dy10 Er2'
_cell_length_a 10.646
_cell_length_b 10.646
_cell_length_c 5.954
_cell_angle_alpha 90.00
_cell_angle_beta 90.00
_cell_angle_gamma 90.00
_space_group_name_H-M_alt 'I 4 m m'
_space_group_IT_number 107
_space_group_name_Hall 'I 4 -2'
loop_
_atom_site_label
_atom_site_type_symbol
_atom_site_fract_x
_atom_site_fract_y
_atom_site_fract_z
Pm1 Pm 0.000 0.323 0.000
Dy1 Dy 0.000 0.000 0.241
Dy2 Dy 0.189 0.189 0.505
Er1 Er 0.000 0.000 0.766
```